Density functional theory data (PBE) for an optimized crystal structure of Nd7Tl3Cd.

abc: 8.3108 8.3108 5.9654
angles: 110.95 110.95 91.42
With the nearest neighbours (Å) after each atom.
Fractional coordinates of all 11 atoms:
Nd (0.0000, 0.0000, 0.0000)  2 Cd 2.98, 2 Tl 3.17
Nd (0.0978, 0.5548, 0.3261)  4 Tl 3.22-3.45, 4 Nd 3.39-3.54
Nd (0.3201, 0.3201, 0.8210)  1 Cd 3.19, 4 Tl 3.31-3.48, 2 Nd 3.54
Nd (0.4452, 0.9022, 0.6739)  4 Tl 3.22-3.45, 4 Nd 3.39-3.54
Nd (0.5548, 0.0978, 0.3261)  4 Tl 3.22-3.45, 4 Nd 3.39-3.54
Nd (0.6799, 0.6799, 0.1790)  1 Cd 3.19, 4 Tl 3.31-3.48, 2 Nd 3.54
Nd (0.9022, 0.4452, 0.6739)  4 Tl 3.22-3.45, 4 Nd 3.39-3.54
Tl (0.2663, 0.7337, 0.0000)  9 Nd 3.17-3.45
Tl (0.5000, 0.5000, 0.5000)  8 Nd 3.22-3.48
Tl (0.7337, 0.2663, 0.0000)  9 Nd 3.17-3.45
Cd (0.0000, 0.0000, 0.5000)  4 Nd 2.98-3.19

Computed properties:
- N(E_F) (states/eV/f.u.) = 10.2
- volume (Å³/atom) = 32.17
- ΔH_f (0 K) (eV/atom) = -0.13

***

Density functional theory data (PBE) for an optimized crystal structure of Ta2AlPb.

abc: 2.9954 2.9954 8.9371
angles: 90.00 90.00 105.76
With the nearest neighbours (Å) after each atom.
Fractional coordinates of all 4 atoms:
Ta (0.0000, 0.0000, 0.2327)  2 Al 2.76, 4 Ta 3.00, 2 Pb 3.00
Ta (0.0000, 0.0000, 0.7673)  2 Al 2.76, 4 Ta 3.00, 2 Pb 3.00
Al (0.5000, 0.5000, 0.0000)  4 Ta 2.76, 4 Al 3.00
Pb (0.5000, 0.5000, 0.5000)  4 Pb 3.00, 4 Ta 3.00

Computed properties:
- N(E_F) (states/eV/f.u.) = 1.9
- volume (Å³/atom) = 19.29
- ΔH_f (0 K) (eV/atom) = 0.31

***

Density functional theory data (PBE) for an optimized crystal structure of AcErAlAg.

abc: 5.3890 5.3890 5.3890
angles: 60.00 60.00 60.00
With the nearest neighbours (Å) after each atom.
Fractional coordinates of all 4 atoms:
Ac (0.0000, 0.0000, 0.0000)  4 Al 3.30, 4 Ag 3.30
Er (0.5000, 0.5000, 0.5000)  4 Ag 3.30, 4 Al 3.30
Al (0.2500, 0.2500, 0.2500)  4 Er 3.30, 4 Ac 3.30
Ag (0.7500, 0.7500, 0.7500)  4 Ac 3.30, 4 Er 3.30

Computed properties:
- N(E_F) (states/eV/f.u.) = 3.7
- volume (Å³/atom) = 27.67
- ΔH_f (0 K) (eV/atom) = -0.23

***

Density functional theory data (PBE) for an optimized crystal structure of Ba3PaTc2N6.

abc: 6.2308 6.2308 7.3106
angles: 90.00 90.00 120.00
With the nearest neighbours (Å) after each atom.
Fractional coordinates of all 12 atoms:
Ba (0.0000, 0.0000, 0.0000)  6 N 2.90
Ba (0.3333, 0.6667, 0.7093)  9 N 3.12-3.43, 1 Tc 3.40
Ba (0.6667, 0.3333, 0.2907)  9 N 3.12-3.43, 1 Tc 3.40
Pa (0.0000, 0.0000, 0.5000)  6 N 2.29
Tc (0.3333, 0.6667, 0.2443)  3 N 1.84
Tc (0.6667, 0.3333, 0.7557)  3 N 1.84
N (0.1685, 0.3370, 0.3089)  1 Tc 1.84
N (0.1685, 0.8315, 0.3089)  1 Tc 1.84
N (0.3370, 0.1685, 0.6911)  1 Tc 1.84
N (0.6630, 0.8315, 0.3089)  1 Tc 1.84
N (0.8315, 0.1685, 0.6911)  1 Tc 1.84
N (0.8315, 0.6630, 0.6911)  1 Tc 1.84

Computed properties:
- N(E_F) (states/eV/f.u.) = 6.7
- E_form (uncorrected) (meV per atom) = -755
- volume (Å³/atom) = 20.48